Entry 1:
# Ho4Cu2HgRu, optimized geometry, DFT GGA-PBE
# DFT formation energy: -367 meV/atom
# calculated total energy: -39.021 eV/cell
# DOS at the Fermi energy: 5.1 states/eV/f.u.
# volume: 172.5 Å³/cell
# total moment: 0.00 μB per cell
data_Ho4Cu2HgRu
_chemical_formula_sum 'Ho4 Cu2 Hg1 Ru1'
_cell_length_a 8.5561
_cell_length_b 8.5561
_cell_length_c 8.5561
_cell_angle_alpha 33.77
_cell_angle_beta 33.77
_cell_angle_gamma 33.77
_space_group_name_H-M_alt 'P 1'
_space_group_IT_number 1
loop_
_space_group_symop_operation_xyz
'x,y,z'
loop_
_atom_site_label
_atom_site_type_symbol
_atom_site_fract_x
_atom_site_fract_y
_atom_site_fract_z
Ho1 Ho 0.1174 0.1174 0.1174
Ho2 Ho 0.3689 0.3689 0.3689
Ho3 Ho 0.6311 0.6311 0.6311
Ho4 Ho 0.8826 0.8826 0.8826
Cu1 Cu 0.2476 0.2476 0.2476
Cu2 Cu 0.7524 0.7524 0.7524
Hg1 Hg 0.5000 0.5000 0.5000
Ru1 Ru 0.0000 0.0000 0.0000


Entry 2:
# Ac5TmSb6, optimized geometry, DFT GGA-PBE
# calculated total energy: -63.713 eV/cell
# DOS at the Fermi energy: 1.2 states/eV/f.u.
# volume: 448.5 Å³/cell
# formation energy without anion corrections: -1164 meV per atom
# total moment: 0.00 μB per cell
data_Ac5TmSb6
_chemical_formula_sum 'Ac5 Tm1 Sb6'
_cell_length_a 8.1908
_cell_length_b 8.1908
_cell_length_c 8.1919
_cell_angle_alpha 99.63
_cell_angle_beta 99.63
_cell_angle_gamma 120.01
_space_group_name_H-M_alt 'P 1'
_space_group_IT_number 1
loop_
_space_group_symop_operation_xyz
'x,y,z'
loop_
_atom_site_label
_atom_site_type_symbol
_atom_site_fract_x
_atom_site_fract_y
_atom_site_fract_z
Ac1 Ac 0.0000 0.0000 0.0000
Ac2 Ac 0.1653 0.8347 0.5000
Ac3 Ac 0.3296 0.6704 0.0000
Ac4 Ac 0.6704 0.3296 0.0000
Ac5 Ac 0.8347 0.1653 0.5000
Tm1 Tm 0.5000 0.5000 0.5000
Sb1 Sb 0.1013 0.4206 0.2602
Sb2 Sb 0.2629 0.2629 0.7436
Sb3 Sb 0.4206 0.1013 0.2602
Sb4 Sb 0.5794 0.8987 0.7398
Sb5 Sb 0.7371 0.7371 0.2564
Sb6 Sb 0.8987 0.5794 0.7398


Entry 3:
# Rb3ScAg, optimized geometry, DFT GGA-PBE
# DFT formation energy: 927 meV/atom
# calculated total energy: -7.449 eV/cell
# DOS at the Fermi energy: 20.9 states/eV/f.u.
# volume: 372.8 Å³/cell
# total moment: 3.00 μB per cell
data_Rb3ScAg
_chemical_formula_sum 'Rb3 Sc1 Ag1'
_cell_length_a 7.1974
_cell_length_b 7.1974
_cell_length_c 7.1974
_cell_angle_alpha 90.00
_cell_angle_beta 90.00
_cell_angle_gamma 90.00
_space_group_name_H-M_alt 'P 1'
_space_group_IT_number 1
loop_
_space_group_symop_operation_xyz
'x,y,z'
loop_
_atom_site_label
_atom_site_type_symbol
_atom_site_fract_x
_atom_site_fract_y
_atom_site_fract_z
Rb1 Rb 0.0000 0.0000 0.5000
Rb2 Rb 0.0000 0.5000 0.0000
Rb3 Rb 0.5000 0.0000 0.0000
Sc1 Sc 0.0000 0.0000 0.0000
Ag1 Ag 0.5000 0.5000 0.5000


Entry 4:
# Ac6OsRh2Au, optimized geometry, DFT GGA-PBE
# DFT formation energy: -455 meV/atom
# calculated total energy: -58.414 eV/cell
# DOS at the Fermi energy: 5.3 states/eV/f.u.
# volume: 346.4 Å³/cell
# total moment: 0.00 μB per cell
data_Ac6OsRh2Au
_chemical_formula_sum 'Ac6 Os1 Rh2 Au1'
_cell_length_a 7.5608
_cell_length_b 7.5624
_cell_length_c 8.2410
_cell_angle_alpha 117.27
_cell_angle_beta 90.05
_cell_angle_gamma 119.95
_space_group_name_H-M_alt 'P 1'
_space_group_IT_number 1
loop_
_space_group_symop_operation_xyz
'x,y,z'
loop_
_atom_site_label
_atom_site_type_symbol
_atom_site_fract_x
_atom_site_fract_y
_atom_site_fract_z
Ac1 Ac 0.0000 0.0000 0.0000
Ac2 Ac 0.1335 0.6592 0.4803
Ac3 Ac 0.3189 0.6585 0.9999
Ac4 Ac 0.4781 0.2931 0.4793
Ac5 Ac 0.6590 0.3395 0.9991
Ac6 Ac 0.8440 0.0036 0.4791
Os1 Os 0.0696 0.8202 0.2321
Rh1 Rh 0.2417 0.1648 0.7483
Rh2 Rh 0.7371 0.1552 0.2334
Au1 Au 0.5694 0.8189 0.7297


Entry 5:
# Tl3HgS, optimized geometry, DFT GGA-PBE
# calculated total energy: -24.474 eV/cell
# DOS at the Fermi energy: 1.3 states/eV/f.u.
# volume: 317.4 Å³/cell
# formation energy without anion corrections: -142 meV per atom
# total moment: 0.00 μB per cell
data_Tl3HgS
_chemical_formula_sum 'Tl6 Hg2 S2'
_cell_length_a 7.5930
_cell_length_b 4.3197
_cell_length_c 9.6856
_cell_angle_alpha 90.00
_cell_angle_beta 92.44
_cell_angle_gamma 90.00
_space_group_name_H-M_alt 'P 1'
_space_group_IT_number 1
loop_
_space_group_symop_operation_xyz
'x,y,z'
loop_
_atom_site_label
_atom_site_type_symbol
_atom_site_fract_x
_atom_site_fract_y
_atom_site_fract_z
Tl1 Tl 0.1283 0.2500 0.0980
Tl2 Tl 0.2371 0.2500 0.5190
Tl3 Tl 0.3508 0.7500 0.8817
Tl4 Tl 0.6492 0.2500 0.1183
Tl5 Tl 0.7629 0.7500 0.4810
Tl6 Tl 0.8717 0.7500 0.9020
Hg1 Hg 0.3876 0.7500 0.2670
Hg2 Hg 0.6124 0.2500 0.7330
S1 S 0.0811 0.7500 0.6765
S2 S 0.9189 0.2500 0.3235


Entry 6:
# NbCoNi3, optimized geometry, DFT GGA-PBE
# DFT formation energy: 228 meV/atom
# calculated total energy: -66.758 eV/cell
# DOS at the Fermi energy: 4.9 states/eV/f.u.
# volume: 132.0 Å³/cell
# total moment: 3.79 μB per cell
data_NbCoNi3
_chemical_formula_sum 'Nb2 Co2 Ni6'
_cell_length_a 5.7885
_cell_length_b 5.7885
_cell_length_c 4.5473
_cell_angle_alpha 90.00
_cell_angle_beta 90.00
_cell_angle_gamma 120.00
_space_group_name_H-M_alt 'P 1'
_space_group_IT_number 1
loop_
_space_group_symop_operation_xyz
'x,y,z'
loop_
_atom_site_label
_atom_site_type_symbol
_atom_site_fract_x
_atom_site_fract_y
_atom_site_fract_z
Nb1 Nb 0.3333 0.6667 0.2500
Nb2 Nb 0.6667 0.3333 0.7500
Co1 Co 0.0000 0.0000 0.0000
Co2 Co 0.0000 0.0000 0.5000
Ni1 Ni 0.2004 0.4009 0.7500
Ni2 Ni 0.2004 0.7996 0.7500
Ni3 Ni 0.4009 0.2004 0.2500
Ni4 Ni 0.5991 0.7996 0.7500
Ni5 Ni 0.7996 0.2004 0.2500
Ni6 Ni 0.7996 0.5991 0.2500


Entry 7:
# NiBSCl2, optimized geometry, DFT GGA-PBE
# calculated total energy: -16.087 eV/cell
# DOS at the Fermi energy: 3.8 states/eV/f.u.
# volume: 96.5 Å³/cell
# formation energy without anion corrections: 838 meV per atom
# total moment: 0.82 μB per cell
data_NiBSCl2
_chemical_formula_sum 'Ni1 B1 S1 Cl2'
_cell_length_a 4.6947
_cell_length_b 4.6947
_cell_length_c 4.3776
_cell_angle_alpha 90.00
_cell_angle_beta 90.00
_cell_angle_gamma 90.00
_space_group_name_H-M_alt 'P 1'
_space_group_IT_number 1
loop_
_space_group_symop_operation_xyz
'x,y,z'
loop_
_atom_site_label
_atom_site_type_symbol
_atom_site_fract_x
_atom_site_fract_y
_atom_site_fract_z
Ni1 Ni 0.0000 0.0000 0.0000
B1 B 0.5000 0.5000 0.5000
S1 S 0.0000 0.0000 0.5000
Cl1 Cl 0.0000 0.5000 0.0000
Cl2 Cl 0.5000 0.0000 0.0000


Entry 8:
# AcErAl, optimized geometry, DFT GGA-PBE
# DFT formation energy: 9 meV/atom
# calculated total energy: -49.542 eV/cell
# DOS at the Fermi energy: 2.9 states/eV/f.u.
# volume: 392.4 Å³/cell
# total moment: 0.00 μB per cell
data_AcErAl
_chemical_formula_sum 'Ac4 Er4 Al4'
_cell_length_a 8.7567
_cell_length_b 8.7567
_cell_length_c 8.7567
_cell_angle_alpha 96.15
_cell_angle_beta 96.15
_cell_angle_gamma 141.80
_space_group_name_H-M_alt 'P 1'
_space_group_IT_number 1
loop_
_space_group_symop_operation_xyz
'x,y,z'
loop_
_atom_site_label
_atom_site_type_symbol
_atom_site_fract_x
_atom_site_fract_y
_atom_site_fract_z
Ac1 Ac 0.0000 0.2394 0.2394
Ac2 Ac 0.0000 0.7606 0.7606
Ac3 Ac 0.2394 0.0000 0.2394
Ac4 Ac 0.7606 0.0000 0.7606
Er1 Er 0.3091 0.3091 0.6182
Er2 Er 0.3091 0.6909 0.0000
Er3 Er 0.6909 0.3091 0.0000
Er4 Er 0.6909 0.6909 0.3818
Al1 Al 0.1130 0.5000 0.6130
Al2 Al 0.5000 0.1130 0.6130
Al3 Al 0.5000 0.8870 0.3870
Al4 Al 0.8870 0.5000 0.3870


Q: The lowest calculated total energy belongs to which entry?
A: NbCoNi3